Density functional theory data (PBE) for a geometry-optimized ZnCdPb2 structure.

Calculated values
E above lowest polymorph ... 0 meV/atom
Electronic total energy ... -0.171 Ry/atom
Symmetry ... P4mm, No. 99
Formation energy ... 78 meV/atom

Lattice parameters (Å, degrees): 3.5916 3.5948 8.0199 90.00 90.00 90.00
Fractional coordinates of all 4 atoms:
Pb 0.0000 0.0000 0.9626
Pb 0.5000 0.5000 0.3003
Zn 0.0000 0.0000 0.5260
Cd 0.5000 0.5000 0.7110

Density functional theory data (PBE) for a geometry-optimized Tb6SmY structure.

Calculated values
E above lowest polymorph ... 6 meV/atom
Electronic total energy ... -0.357 Ry/atom
Symmetry ... P4/mmm, No. 123
Formation energy ... 20 meV/atom

Lattice parameters (Å, degrees): 5.0544 5.0544 10.0937 90.00 90.00 90.00
Fractional coordinates of all 8 atoms:
Tb 0.5000 0.5000 0.0000
Tb 0.5000 0.5000 0.5000
Tb 0.5000 0.0000 0.2504
Tb 0.5000 0.0000 0.7496
Tb 0.0000 0.5000 0.2504
Tb 0.0000 0.5000 0.7496
Sm 0.0000 0.0000 0.0000
Y 0.0000 0.0000 0.5000

Density functional theory data (PBE) for a geometry-optimized HfMnRu2Br structure.

Calculated values
Electronic total energy ... -0.508 Ry/atom
Symmetry ... P4/mmm, No. 123
Raw formation energy ... 0.95 eV/atom

Lattice parameters (Å, degrees): 4.4405 4.9322 4.4405 90.00 90.00 90.00
Fractional coordinates of all 5 atoms:
Ru 0.0000 0.0000 0.5000
Ru 0.5000 0.0000 0.0000
Mn 0.0000 0.0000 0.0000
Hf 0.0000 0.5000 0.0000
Br 0.5000 0.5000 0.5000

Density functional theory data (PBE) for a geometry-optimized Sr5Tl4Hg2 structure.

Calculated values
Electronic total energy ... -0.154 Ry/atom
Symmetry ... Pbam, No. 55
Formation energy ... -420 meV/atom

Lattice parameters (Å, degrees): 4.1177 8.9973 19.8394 90.00 90.00 90.00
Fractional coordinates of all 22 atoms:
Sr 0.0000 0.5000 0.0000
Sr 0.0000 0.0000 0.5000
Sr 0.0000 0.2838 0.2025
Sr 0.0000 0.7162 0.7975
Sr 0.0000 0.7838 0.2975
Sr 0.0000 0.2162 0.7025
Sr 0.0000 0.3871 0.4176
Sr 0.0000 0.6129 0.5824
Sr 0.0000 0.8871 0.0824
Sr 0.0000 0.1129 0.9176
Tl 0.5000 0.2935 0.5599
Tl 0.5000 0.7065 0.4401
Tl 0.5000 0.7935 0.9401
Tl 0.5000 0.2065 0.0599
Tl 0.5000 0.4001 0.8532
Tl 0.5000 0.5999 0.1468
Tl 0.5000 0.9001 0.6468
Tl 0.5000 0.0999 0.3532
Hg 0.5000 0.4868 0.2975
Hg 0.5000 0.5132 0.7025
Hg 0.5000 0.9868 0.2025
Hg 0.5000 0.0132 0.7975

Density functional theory data (PBE) for a geometry-optimized Na3Tm2TiS6 structure.

Calculated values
Electronic total energy ... -0.400 Ry/atom
Symmetry ... C2/m, No. 12
Raw formation energy ... -1.65 eV/atom

Lattice parameters (Å, degrees): 6.6289 6.6289 7.0251 99.05 99.05 120.00
Fractional coordinates of all 12 atoms:
Na 0.1685 0.8315 0.5000
Na 0.8315 0.1685 0.5000
Na 0.5000 0.5000 0.5000
Tm 0.3329 0.6671 0.0000
Tm 0.6671 0.3329 0.0000
Ti 0.0000 0.0000 0.0000
S 0.9262 0.6095 0.7798
S 0.7576 0.7576 0.2175
S 0.0738 0.3905 0.2202
S 0.6095 0.9262 0.7798
S 0.2424 0.2424 0.7825
S 0.3905 0.0738 0.2202

Density functional theory data (PBE) for a geometry-optimized ErMg2Tl2Ag2 structure.

Calculated values
Electronic total energy ... -0.201 Ry/atom
Symmetry ... R-3m, No. 166
Formation energy ... -130 meV/atom

Lattice parameters (Å, degrees): 4.8912 4.8912 8.4042 73.08 73.08 60.00
Fractional coordinates of all 7 atoms:
Er 0.0000 0.0000 0.0000
Mg 0.1336 0.1336 0.5992
Mg 0.8664 0.8664 0.4008
Tl 0.6051 0.6051 0.1847
Tl 0.3949 0.3949 0.8153
Ag 0.7482 0.7482 0.7553
Ag 0.2518 0.2518 0.2447